CdSnTe4Pb2 after structural relaxation, computed with PBE.

Cell and atoms, written as extended XYZ:
```
8
Lattice="4.532 0.000 0.000 0.000 7.870 -0.160 0.000 2.765 7.313" Properties=species:S:1:pos:R:3 pbc="T T T"
Cd 2.266 3.935 -0.080
Te 2.266 6.496 1.702
Te 0.000 7.874 5.452
Te 4.532 2.761 1.700
Te 2.266 4.139 5.450
Pb 0.000 2.765 7.313
Pb 2.266 1.383 3.656
Sn 0.000 5.317 3.576
```

Results
Formation energy (no corrections) in eV per atom: -0.339

=====

CaCe4P6 after structural relaxation, computed with PBE.

Cell and atoms, written as extended XYZ:
```
22
Lattice="-3.697 -5.464 -4.380 6.881 -2.576 -2.952 0.534 -4.987 6.128" Properties=species:S:1:pos:R:3 pbc="T T T"
Ce 1.197 -5.750 2.763
Ce 5.010 -5.807 1.081
Ce 2.522 -7.277 -3.967
Ce 3.497 -3.654 -2.151
Ce 4.035 -9.430 -0.735
Ce -0.316 -3.597 -0.469
Ce 0.222 -9.373 0.947
Ce -1.291 -7.220 -2.285
P 1.276 -8.847 -1.860
P 1.758 -11.387 -0.290
P -2.502 -8.675 -0.197
P 4.304 -6.558 -1.783
P 5.700 -8.743 1.433
P 6.221 -4.351 -1.007
P 2.443 -4.179 0.656
P 0.905 -5.179 -2.765
P -0.585 -6.469 0.579
P 1.961 -1.639 -0.914
P -1.981 -4.284 -2.638
P 2.814 -7.848 1.561
Ca 1.859 -6.513 -0.602
Ca 0.000 0.000 0.000
```

Results
ΔE_f in eV per atom: -1.14

=====

LaPmScIn after structural relaxation, computed with PBE.

Cell and atoms, written as extended XYZ:
```
4
Lattice="-2.340 -4.468 -1.960 4.199 -2.951 1.715 -2.689 3.158 3.480" Properties=species:S:1:pos:R:3 pbc="T T T"
In 0.929 -3.709 -0.122
La 0.000 0.000 0.000
Pm -2.050 -2.510 0.699
Sc 1.220 -1.751 2.537
```

Results
ΔE_f in eV per atom: -0.10
Offset from the most stable computed form in meV per atom: 77

=====

Density per entry: 7.30, 5.26, 6.57 g cm⁻³
Energy per entry: -3.452, -6.435, -4.784 eV/atom